{
  "formula": "Sm2SiS4",
  "functional": "PBE",
  "state": "relaxed",
  "cell": [[6.724, 0.000, 0.000], [0.000, 6.286, 0.000], [-2.003, 0.000, 7.243]],
  "species": ["Sm", "Sm", "Sm", "Sm", "Si", "Si", "S", "S", "S", "S", "S", "S", "S", "S"],
  "frac_coords": [[0.230, 0.250, 0.058], [0.235, 0.250, 0.554], [0.765, 0.750, 0.446], [0.770, 0.750, 0.942], [0.225, 0.750, 0.808], [0.775, 0.250, 0.192], [0.001, 0.506, 0.256], [0.001, 0.994, 0.256], [0.419, 0.750, 0.090], [0.428, 0.750, 0.626], [0.572, 0.250, 0.374], [0.581, 0.250, 0.910], [0.999, 0.006, 0.744], [0.999, 0.494, 0.744]],
  "final_energy_ev_per_atom": -5.7392
}